Record 1
This record from the Alexandria database describes a crystal of Y2BeCr relaxed with PBEsol. The functional is SCAN.

Properties
The formation energy comes out at 0.162 eV/atom. The volume comes out at 19.68 Å³ per atom.

The structure in CIF format:
```
data_Y2BeCr
_cell_length_a 3.3381
_cell_length_b 4.6696
_cell_length_c 5.8080
_cell_angle_alpha 113.70
_cell_angle_beta 106.70
_cell_angle_gamma 90.00
_space_group_name_H-M_alt 'P 1'
_space_group_IT_number 1
_space_group_name_Hall 'P 1'
loop_
_atom_site_label
_atom_site_fract_x
_atom_site_fract_y
_atom_site_fract_z
Y1 0.0132 0.0132 0.0263
Y2 0.2227 0.7227 0.4453
Be1 0.4630 0.4630 0.9259
Cr1 0.8012 0.3012 0.6024
```



Record 2
This record from the Alexandria database describes a crystal of MgNiRu3 relaxed with PBEsol. The functional is SCAN.

Properties
The formation energy comes out at 1.212 eV/atom. The volume comes out at 17.01 Å³ per atom.

The structure in CIF format:
```
data_MgNiRu3
_cell_length_a 4.3975
_cell_length_b 4.3975
_cell_length_c 4.3975
_cell_angle_alpha 90.00
_cell_angle_beta 90.00
_cell_angle_gamma 90.00
_space_group_name_H-M_alt 'P 1'
_space_group_IT_number 1
_space_group_name_Hall 'P 1'
loop_
_atom_site_label
_atom_site_fract_x
_atom_site_fract_y
_atom_site_fract_z
Ru1 0.0000 0.5000 0.0000
Ru2 0.0000 0.0000 0.5000
Ru3 0.5000 0.0000 0.0000
Mg1 0.5000 0.5000 0.5000
Ni1 0.0000 0.0000 0.0000
```



Record 3
This record from the Alexandria database describes a crystal of HfAsSe2 relaxed with PBEsol. The functional is SCAN.

Properties
The volume comes out at 22.92 Å³ per atom. The calculation puts the formation energy without anion corrections at 0.0801 eV per atom.

The structure in CIF format:
```
data_HfAsSe2
_cell_length_a 3.5406
_cell_length_b 3.5406
_cell_length_c 8.6894
_cell_angle_alpha 78.24
_cell_angle_beta 78.24
_cell_angle_gamma 60.00
_space_group_name_H-M_alt 'P 1'
_space_group_IT_number 1
_space_group_name_Hall 'P 1'
loop_
_atom_site_label
_atom_site_fract_x
_atom_site_fract_y
_atom_site_fract_z
Se1 0.8990 0.8990 0.3030
Se2 0.1010 0.1010 0.6970
As1 0.5000 0.5000 0.5000
Hf1 0.0000 0.0000 0.0000
```